1.
Below is an optimized crystal structure of PuCdPbAu, with properties calculated at the PBE level.

POSCAR file:
```
PuCdPbAu
1.0
0.000 3.652 3.652
3.652 0.000 3.652
3.652 3.652 0.000
Pu Cd Pb Au
1 1 1 1
direct
0.000 0.000 0.000 Pu
0.500 0.500 0.500 Cd
0.250 0.250 0.250 Pb
0.750 0.750 0.750 Au
```

Total magnetization, μB per formula unit: 5.5
Energy of formation from the pure elements, kJ per mole of atoms: -18
DOS at the Fermi energy, states/eV/cell: 12.29
Space-group type: F-43m (216)
Raw total energy, eV per atom: -5.75

---

2.
Below is an optimized crystal structure of RbCd2PbAu4, with properties calculated at the PBE level.

POSCAR file:
```
RbCd2PbAu4
1.0
2.669 1.541 8.336
-2.669 1.541 8.336
0.000 -3.081 8.336
Rb Cd Pb Au
1 2 1 4
direct
0.000 0.000 0.000 Rb
0.269 0.269 0.269 Cd
0.731 0.731 0.731 Cd
0.500 0.500 0.500 Pb
0.159 0.159 0.159 Au
0.384 0.384 0.384 Au
0.616 0.616 0.616 Au
0.841 0.841 0.841 Au
```

Total magnetization, μB per formula unit: 0.0
Energy of formation from the pure elements, kJ per mole of atoms: -2
DOS at the Fermi energy, states/eV/cell: 1.75
Space-group type: R-3m (166)
Raw total energy, eV per atom: -2.47

---

3.
Below is an optimized crystal structure of RbCdPbAu2, with properties calculated at the PBE level.

POSCAR file:
```
RbCdPbAu2
1.0
-2.214 2.513 6.441
2.214 -2.513 6.441
2.214 2.513 -6.441
Rb Cd Pb Au
1 1 1 2
direct
0.000 0.000 0.000 Rb
0.622 0.622 0.000 Cd
0.263 0.763 0.500 Pb
0.406 0.406 0.000 Au
0.768 0.268 0.500 Au
```

Total magnetization, μB per formula unit: 0.0
Energy of formation from the pure elements, kJ per mole of atoms: -14
DOS at the Fermi energy, states/eV/cell: 2.17
Space-group type: Imm2 (44)
Raw total energy, eV per atom: -2.57